This record from the Alexandria database describes a relaxed structure of LiMnV2O4. The functional is PBE with a Hubbard U.

## Properties
E_tot ... -116.70 eV for the cell shown

a b c (Å): 4.2956 4.2956 8.7701
angles (deg): 90.00 90.00 90.00
Space group I4/mmm (No. 139)
One atom of each set of equivalent atoms:
Li 0.0000 0.0000 0.0000 (multiplicity 2)
Mn 0.0000 0.0000 0.5000 (multiplicity 2)
V 0.0000 0.5000 0.2500 (multiplicity 4)
O 0.0000 0.0000 0.2475 (multiplicity 4)
O 0.0000 0.5000 0.0000 (multiplicity 4)